Material: Zn3ReB
Method: DFT, PBE
State: optimized geometry

Geometry as CIF:
```
data_Zn3ReB
_chemical_formula_sum 'Zn3 Re1 B1'
_cell_length_a 4.1076
_cell_length_b 4.1076
_cell_length_c 4.1076
_cell_angle_alpha 90.00
_cell_angle_beta 90.00
_cell_angle_gamma 90.00
_symmetry_space_group_name_H-M 'P m -3 m'
_symmetry_Int_Tables_number 221
_symmetry_space_group_name_Hall '-P 4 2 3'
loop_
_atom_site_label
_atom_site_fract_x
_atom_site_fract_y
_atom_site_fract_z
_atom_site_occupancy
Zn1 0.0000 0.0000 0.5000 1
Re1 0.5000 0.5000 0.5000 1
B1 0.0000 0.0000 0.0000 1
```

Summary:
The calculation puts the density of states at the Fermi level at 0.391 states/eV per atom. As for the crystal system: cubic.


Material: Zr2ZnReB
Method: DFT, PBE
State: optimized geometry

Geometry as CIF:
```
data_Zr2ZnReB
_chemical_formula_sum 'Zr2 Zn1 Re1 B1'
_cell_length_a 4.8568
_cell_length_b 4.8568
_cell_length_c 4.4543
_cell_angle_alpha 90.00
_cell_angle_beta 90.00
_cell_angle_gamma 90.00
_symmetry_space_group_name_H-M 'P 4/m m m'
_symmetry_Int_Tables_number 123
_symmetry_space_group_name_Hall '-P 4 2'
loop_
_atom_site_label
_atom_site_fract_x
_atom_site_fract_y
_atom_site_fract_z
_atom_site_occupancy
Zr1 0.0000 0.5000 0.0000 1
Zn1 0.0000 0.0000 0.0000 1
Re1 0.0000 0.0000 0.5000 1
B1 0.5000 0.5000 0.5000 1
```

Summary:
The calculation puts the density of states at the Fermi level at 0.504 states/eV per atom. As for the crystal system: tetragonal.


Material: ZrRe2B
Method: DFT, PBE
State: optimized geometry

Geometry as CIF:
```
data_ZrRe2B
_chemical_formula_sum 'Zr4 Re8 B4'
_cell_length_a 3.8873
_cell_length_b 3.8873
_cell_length_c 17.4152
_cell_angle_alpha 90.00
_cell_angle_beta 90.00
_cell_angle_gamma 90.00
_symmetry_space_group_name_H-M 'I -4 2 d'
_symmetry_Int_Tables_number 122
_symmetry_space_group_name_Hall 'I -4 2bw'
loop_
_atom_site_label
_atom_site_fract_x
_atom_site_fract_y
_atom_site_fract_z
_atom_site_occupancy
Zr1 0.0000 0.0000 0.0000 1
Re1 0.1786 0.2500 0.6250 1
B1 0.0000 0.0000 0.5000 1
```

Summary:
The calculation puts the density of states at the Fermi level at 0.951 states/eV per atom. As for the crystal system: tetragonal.


no.,energy of formation from the pure elements (eV per formula unit)
1,4.88
2,8.35
3,2.32